No. 1
TlCrSb, optimized geometry, DFT GGA-PBE; uncorrected formation energy = 0.39 eV/atom; symmetry = P3m1, No. 156; total energy = -4.9811 eV per atom; DOS at the Fermi energy = 0.478 states/eV per atom
1.0
4.346 0.000 0.000
-2.173 3.764 0.000
0.000 0.000 4.994
Tl Cr Sb
1 1 1
direct
0.000 0.000 0.000
0.667 0.333 0.627
0.333 0.667 0.418

No. 2
TlCr2Sb, optimized geometry, DFT GGA-PBE; uncorrected formation energy = 0.56 eV/atom; symmetry = C2/m, No. 12; total energy = -5.8761 eV per atom; DOS at the Fermi energy = 0.778 states/eV per atom
1.0
4.343 -1.736 0.000
4.343 1.736 0.000
-1.353 0.000 5.661
Tl Cr Sb
1 2 1
direct
0.000 0.000 0.000
0.244 0.244 0.740
0.756 0.756 0.260
0.500 0.500 0.500

No. 3
Tl2CrSb, optimized geometry, DFT GGA-PBE; uncorrected formation energy = 0.45 eV/atom; symmetry = P2/m, No. 10; total energy = -4.1700 eV per atom; DOS at the Fermi energy = 0.481 states/eV per atom
1.0
4.265 0.000 0.000
0.000 5.070 0.000
-0.609 0.000 5.395
Tl Cr Sb
2 1 1
direct
0.194 0.000 0.261
0.806 0.000 0.739
0.500 0.500 0.500
0.500 0.500 0.000

No. 4
TlCrSb2, optimized geometry, DFT GGA-PBE; uncorrected formation energy = 0.14 eV/atom; symmetry = P2/m, No. 10; total energy = -4.9155 eV per atom; DOS at the Fermi energy = 0.471 states/eV per atom
1.0
3.179 0.000 0.000
0.000 3.732 0.000
-0.152 0.000 8.527
Tl Cr Sb
1 1 2
direct
0.000 0.000 0.000
0.000 0.000 0.500
0.494 0.500 0.312
0.506 0.500 0.688

No. 5
TlCrSb2, optimized geometry, DFT GGA-PBE; uncorrected formation energy = 0.16 eV/atom; symmetry = R3m, No. 160; total energy = -4.8970 eV per atom; DOS at the Fermi energy = 0.699 states/eV per atom
1.0
1.867 1.078 8.600
-1.867 1.078 8.600
0.000 -2.155 8.600
Tl Cr Sb
1 1 2
direct
0.000 0.000 0.000
0.834 0.834 0.834
0.231 0.231 0.231
0.438 0.438 0.438

No. 6
TlCr2Sb, optimized geometry, DFT GGA-PBE; uncorrected formation energy = 0.51 eV/atom; symmetry = R3m, No. 160; total energy = -5.9249 eV per atom; DOS at the Fermi energy = 0.911 states/eV per atom
1.0
1.617 0.933 9.034
-1.617 0.933 9.034
0.000 -1.867 9.034
Tl Cr Sb
1 2 1
direct
0.000 0.000 0.000
0.247 0.247 0.247
0.520 0.520 0.520
0.774 0.774 0.774

No. 7
TlCr2Sb, optimized geometry, DFT GGA-PBE; uncorrected formation energy = 0.53 eV/atom; symmetry = P4/mmm, No. 123; total energy = -5.9079 eV per atom; DOS at the Fermi energy = 0.598 states/eV per atom
1.0
3.559 0.000 0.000
0.000 3.559 0.000
0.000 0.000 6.572
Tl Cr Sb
1 2 1
direct
0.000 0.000 0.000
0.500 0.500 0.269
0.500 0.500 0.731
0.000 0.000 0.500

No. 8
TlCr2Sb, optimized geometry, DFT GGA-PBE; uncorrected formation energy = 0.70 eV/atom; symmetry = I-42d, No. 122; total energy = -5.7293 eV per atom; DOS at the Fermi energy = 0.986 states/eV per atom
1.0
-3.775 3.775 3.207
3.775 -3.775 3.207
3.775 3.775 -3.207
Tl Cr Sb
2 4 2
direct
0.000 0.000 0.000
0.750 0.250 0.500
0.142 0.625 0.017
0.375 0.392 0.517
0.608 0.125 0.983
0.875 0.858 0.483
0.250 0.750 0.500
0.500 0.500 0.000

No. 9
TlCr2Sb, optimized geometry, DFT GGA-PBE; uncorrected formation energy = 0.55 eV/atom; symmetry = R-3m, No. 166; total energy = -5.8854 eV per atom; DOS at the Fermi energy = 0.662 states/eV per atom
1.0
1.726 0.996 8.225
-1.726 0.996 8.225
0.000 -1.993 8.225
Tl Cr Sb
1 2 1
direct
0.000 0.000 0.000
0.245 0.245 0.245
0.755 0.755 0.755
0.500 0.500 0.500

No. 10
TlCr2Sb, optimized geometry, DFT GGA-PBE; uncorrected formation energy = 0.32 eV/atom; symmetry = P4mm, No. 99; total energy = -6.1126 eV per atom; DOS at the Fermi energy = 0.499 states/eV per atom
1.0
3.122 0.000 0.000
0.000 3.122 0.000
0.000 0.000 8.279
Tl Cr Sb
1 2 1
direct
0.000 0.000 0.000
0.000 0.000 0.398
0.500 0.500 0.257
0.500 0.500 0.618

No. 11
TlCrSb2, optimized geometry, DFT GGA-PBE; uncorrected formation energy = 0.20 eV/atom; symmetry = R-3m, No. 166; total energy = -4.8582 eV per atom; DOS at the Fermi energy = 0.757 states/eV per atom
1.0
1.680 0.970 10.066
-1.680 0.970 10.066
0.000 -1.939 10.066
Tl Cr Sb
1 1 2
direct
0.000 0.000 0.000
0.500 0.500 0.500
0.228 0.228 0.228
0.772 0.772 0.772

No. 12
TlCr2Sb, optimized geometry, DFT GGA-PBE; uncorrected formation energy = 0.54 eV/atom; symmetry = Imm2, No. 44; total energy = -5.8981 eV per atom; DOS at the Fermi energy = 0.599 states/eV per atom
1.0
-1.932 2.058 5.080
1.932 -2.058 5.080
1.932 2.058 -5.080
Tl Cr Sb
1 2 1
direct
0.000 0.000 0.000
0.475 0.475 0.000
0.734 0.234 0.500
0.254 0.754 0.500